# BaMn4Se, optimized geometry, DFT PBE
# electronic total energy	-6.485	eV/atom
# volume	21.22	Å³ per atom
# D(E_F)	1.1177	states/eV/atom
# energy relative to the elements, uncorrected	0.53	eV per atom
data_BaMn4Se
_chemical_formula_sum 'Ba4 Mn16 Se4'
_space_group_name_H-M_alt 'F -4 3 m'
_space_group_IT_number 216
_space_group_name_Hall 'F -4 2 3'
_cell_length_a 7.986
_cell_length_b 7.986
_cell_length_c 7.986
_cell_angle_alpha 90.00
_cell_angle_beta 90.00
_cell_angle_gamma 90.00
loop_
_atom_site_label
_atom_site_fract_x
_atom_site_fract_y
_atom_site_fract_z
_atom_site_occupancy
Ba1 0.000 0.000 0.000 1
Mn1 0.126 0.126 0.374 1
Se1 0.250 0.250 0.750 1